Density functional theory data (PBE with a Hubbard U) for a relaxed structure of CaVI2O.

polymorph energy (0 for the lowest one) = 611.7 meV per atom
V = 153 Å³ per cell
total energy = -3.89 eV per atom

CIF file:
```
data_CaVI2O
_chemical_formula_sum 'Ca1 V1 I2 O1'
_symmetry_space_group_name_H-M 'P 4/m m m'
_symmetry_Int_Tables_number 123
_symmetry_space_group_name_Hall '-P 4 2'
_cell_length_a 6.081
_cell_length_b 6.081
_cell_length_c 4.150
_cell_angle_alpha 90.00
_cell_angle_beta 90.00
_cell_angle_gamma 90.00
loop_
_atom_site_label
_atom_site_type_symbol
_atom_site_fract_x
_atom_site_fract_y
_atom_site_fract_z
Ca1 Ca 0.000 0.000 0.000
V1 V 0.500 0.500 0.500
I1 I 0.000 0.500 0.000
O1 O 0.000 0.000 0.500
```